P | KReOs2 | the Alexandria database | GGA-PBE | relaxed; space-group type = P4/mmm, No. 123; DOS at the Fermi energy = 5.893 states/eV/cell
1.0
-1.446 -0.233 2.395
-2.315 -0.626 -1.459
2.186 -9.101 0.436
K Os Re
1 2 1
direct
0.500 0.500 0.750
0.000 0.000 0.441
0.000 0.000 0.059
0.500 0.500 0.250

---

Q | KReOs2 | the Alexandria database | GGA-PBE | relaxed; space-group type = Immm, No. 71; DOS at the Fermi energy = 3.012 states/eV/cell
1.0
5.927 0.004 -0.002
3.030 5.095 0.002
-3.650 -4.005 2.403
Os K Re
2 1 1
direct
0.537 0.537 0.000
0.963 0.963 0.000
0.250 0.750 0.500
0.750 0.250 0.500

---

R | KReOs2 | the Alexandria database | GGA-PBE | relaxed; space-group type = P4mm, No. 99; DOS at the Fermi energy = 5.242 states/eV/cell
1.0
-2.352 0.466 1.334
0.906 -1.491 2.117
3.834 7.974 3.974
Os K Re
2 1 1
direct
0.000 0.000 0.056
0.500 0.500 0.241
0.500 0.500 0.758
0.000 0.000 0.445

---

S | KReOs2 | the Alexandria database | GGA-PBE | relaxed; space-group type = I-42d, No. 122; DOS at the Fermi energy = 2.785 states/eV/cell
1.0
7.448 0.000 0.000
0.000 7.448 0.000
3.724 3.724 2.972
Os K Re
4 2 2
direct
0.875 0.940 0.750
0.060 0.625 0.250
0.690 0.125 0.250
0.375 0.310 0.750
0.250 0.750 0.500
0.500 0.500 0.000
0.000 0.000 0.000
0.750 0.250 0.500

---

Result of the stability comparison: S is the least stable of them.

---

P | KReOs2 | the Alexandria database | GGA-PBE | relaxed; space-group type = Imm2, No. 44; DOS at the Fermi energy = 3.503 states/eV/cell
1.0
-4.889 -1.494 3.182
-3.304 -4.886 -1.212
4.998 2.874 1.739
Os K Re
2 1 1
direct
0.961 0.961 0.000
0.751 0.251 0.500
0.249 0.749 0.500
0.539 0.539 0.000

---

Q | KReOs2 | the Alexandria database | GGA-PBE | relaxed; space-group type = Cm, No. 8; DOS at the Fermi energy = 5.571 states/eV/cell
1.0
-3.908 1.286 2.565
-4.792 0.734 -0.006
-1.711 -6.227 1.925
K Re Os
1 1 2
direct
0.252 0.252 0.245
0.471 0.471 0.609
0.747 0.747 0.746
0.030 0.030 0.900

---

Result of the stability comparison: P is the least stable of them.

---

P | KRe3Os | the Alexandria database | GGA-PBE | relaxed; space-group type = Pm-3m, No. 221; DOS at the Fermi energy = 4.843 states/eV/cell
1.0
4.845 0.000 0.000
0.000 4.845 0.000
0.000 0.000 4.845
K Re Os
1 3 1
direct
0.500 0.500 0.500
0.000 0.000 0.500
0.500 0.000 0.000
0.000 0.500 0.000
0.000 0.000 0.000

---

Q | KRe3Os | the Alexandria database | GGA-PBE | relaxed; space-group type = Pm-3m, No. 221; DOS at the Fermi energy = 5.816 states/eV/cell
1.0
4.395 0.000 0.000
0.000 4.395 0.000
0.000 0.000 4.395
Os Re K
1 3 1
direct
0.500 0.500 0.500
0.000 0.000 0.500
0.500 0.000 0.000
0.000 0.500 0.000
0.000 0.000 0.000

---

Result of the stability comparison: Q is the least stable of them.

---

P | KRe2Os | the Alexandria database | GGA-PBE | relaxed; space-group type = Cmmm, No. 65; DOS at the Fermi energy = 4.743 states/eV/cell
1.0
5.503 0.034 0.000
-2.715 4.786 0.000
0.000 0.000 2.587
Re Os K
2 1 1
direct
0.500 0.500 0.000
0.000 0.000 0.000
0.000 0.500 0.500
0.500 0.000 0.500

---

Q | KRe2Os | the Alexandria database | GGA-PBE | relaxed; space-group type = F-43m, No. 216; DOS at the Fermi energy = 2.356 states/eV/cell
1.0
4.527 0.000 0.000
2.263 3.920 0.000
2.263 1.307 3.696
Re Os K
2 1 1
direct
0.250 0.250 0.250
0.000 0.000 0.000
0.750 0.750 0.750
0.500 0.500 0.500

---

Result of the stability comparison: P is the least stable of them.